Record 1
Crystalline InSb2Pb2 at its relaxed geometry. Source: the Alexandria database, functional PBE-GGA.

Excess energy over the best structure of this formula in the dataset = 47.8 meV per atom
Magnetic moment = 0.00 μB per cell
DFT total energy = -35.5 eV per cell
Space-group type = No. 127
Formation energy (no corrections) = 0.131 eV per atom
DOS at the Fermi energy = 0.614 states/eV per atom

abc: 8.8572 8.8572 4.0027
angles: 90.00 90.00 90.00
With the nearest neighbours (Å) after each atom.
Atoms (fractional coordinates):
In: 0.0000 0.0000 0.0000  4 Pb 3.41
In: 0.5000 0.5000 0.0000  4 Pb 3.41
Sb: 0.1511 0.3489 0.5000  6 Pb 3.28
Sb: 0.3489 0.8489 0.5000  6 Pb 3.28
Sb: 0.6511 0.1511 0.5000  6 Pb 3.28
Sb: 0.8489 0.6511 0.5000  6 Pb 3.28
Pb: 0.1415 0.6415 0.0000  6 Sb 3.28, 2 In 3.41, 1 Pb 3.55
Pb: 0.3585 0.1415 0.0000  6 Sb 3.28, 2 In 3.41, 1 Pb 3.55
Pb: 0.6415 0.8585 0.0000  6 Sb 3.28, 2 In 3.41, 1 Pb 3.55
Pb: 0.8585 0.3585 0.0000  6 Sb 3.28, 2 In 3.41, 1 Pb 3.55

Record 2
Crystalline In2Sb2Pb at its relaxed geometry. Source: the Alexandria database, functional PBE-GGA.

Excess energy over the best structure of this formula in the dataset = 100.4 meV per atom
Magnetic moment = 0.00 μB per cell
DFT total energy = -33.3 eV per cell
Space-group type = No. 139
Formation energy (no corrections) = 0.155 eV per atom
DOS at the Fermi energy = 0.584 states/eV per atom

abc: 4.2979 4.2979 16.8144
angles: 90.00 90.00 90.00
With the nearest neighbours (Å) after each atom.
Atoms (fractional coordinates):
In: 0.0000 0.0000 0.0991  4 Sb 3.33, 1 In 3.33, 4 Pb 3.47
In: 0.0000 0.0000 0.9009  4 Sb 3.33, 1 In 3.33, 4 Pb 3.47
In: 0.5000 0.5000 0.4009  4 Sb 3.33, 1 In 3.33, 4 Pb 3.47
In: 0.5000 0.5000 0.5991  4 Sb 3.33, 1 In 3.33, 4 Pb 3.47
Sb: 0.0000 0.5000 0.2500  4 Sb 3.04, 4 In 3.33
Sb: 0.0000 0.5000 0.7500  4 Sb 3.04, 4 In 3.33
Sb: 0.5000 0.0000 0.2500  4 Sb 3.04, 4 In 3.33
Sb: 0.5000 0.0000 0.7500  4 Sb 3.04, 4 In 3.33
Pb: 0.0000 0.0000 0.5000  8 In 3.47
Pb: 0.5000 0.5000 0.0000  8 In 3.47

Record 3
Crystalline InSb4Pb5 at its relaxed geometry. Source: the Alexandria database, functional PBE-GGA.

Magnetic moment = 0.00 μB per cell
DFT total energy = -37.4 eV per cell
Space-group type = No. 2
Formation energy (no corrections) = 0.036 eV per atom
DOS at the Fermi energy = 0.361 states/eV per atom

abc: 4.4579 7.7282 10.1090
angles: 102.20 102.66 90.30
With the nearest neighbours (Å) after each atom.
Atoms (fractional coordinates):
In: 0.0000 0.0000 0.0000  6 Sb 3.07-3.20
Sb: 0.1355 0.3153 0.2703  6 Pb 3.14-3.48, 1 In 3.20
Sb: 0.4397 0.1984 0.8803  4 Pb 3.07-3.26, 2 In 3.07-3.09
Sb: 0.5603 0.8016 0.1197  4 Pb 3.07-3.26, 2 In 3.07-3.09
Sb: 0.8645 0.6847 0.7297  6 Pb 3.14-3.48, 1 In 3.20
Pb: 0.0000 0.5000 0.0000  6 Sb 3.25-3.29
Pb: 0.3083 0.9065 0.6138  3 Sb 3.07-3.17
Pb: 0.3127 0.3977 0.6313  4 Sb 3.14-3.48
Pb: 0.6873 0.6023 0.3687  4 Sb 3.14-3.48
Pb: 0.6917 0.0935 0.3862  3 Sb 3.07-3.17

Record 4
Crystalline InSbPb2 at its relaxed geometry. Source: the Alexandria database, functional PBE-GGA.

Excess energy over the best structure of this formula in the dataset = 14.2 meV per atom
Magnetic moment = 0.00 μB per cell
DFT total energy = -28.2 eV per cell
Space-group type = No. 65
Formation energy (no corrections) = 0.042 eV per atom
DOS at the Fermi energy = 0.609 states/eV per atom

abc: 7.2575 9.4745 3.4634
angles: 90.00 90.00 90.00
With the nearest neighbours (Å) after each atom.
Atoms (fractional coordinates):
In: 0.0000 0.0000 0.0000  8 Pb 3.45, 2 In 3.46, 2 Sb 3.63
In: 0.5000 0.5000 0.0000  8 Pb 3.45, 2 In 3.46, 2 Sb 3.63
Sb: 0.0000 0.5000 0.0000  8 Pb 3.45, 2 Sb 3.46, 2 In 3.63
Sb: 0.5000 0.0000 0.0000  8 Pb 3.45, 2 Sb 3.46, 2 In 3.63
Pb: 0.2500 0.2500 0.5000  4 In 3.45, 4 Sb 3.45, 4 Pb 3.46-3.63
Pb: 0.2500 0.7500 0.5000  4 In 3.45, 4 Sb 3.45, 4 Pb 3.46-3.63
Pb: 0.7500 0.2500 0.5000  4 In 3.45, 4 Sb 3.45, 4 Pb 3.46-3.63
Pb: 0.7500 0.7500 0.5000  4 In 3.45, 4 Sb 3.45, 4 Pb 3.46-3.63

Record 5
Crystalline In2SbPb at its relaxed geometry. Source: the Alexandria database, functional PBE-GGA.

Excess energy over the best structure of this formula in the dataset = 26.4 meV per atom
Magnetic moment = 0.00 μB per cell
DFT total energy = -26.1 eV per cell
Space-group type = No. 65
Formation energy (no corrections) = 0.061 eV per atom
DOS at the Fermi energy = 0.397 states/eV per atom

abc: 4.6957 5.0305 9.7413
angles: 90.00 90.00 90.00
With the nearest neighbours (Å) after each atom.
Atoms (fractional coordinates):
In: 0.0000 0.0000 0.2428  4 Sb 3.33-3.45, 4 Pb 3.43-3.55, 4 In 3.44
In: 0.0000 0.0000 0.7572  4 Sb 3.33-3.45, 4 Pb 3.43-3.55, 4 In 3.44
In: 0.5000 0.5000 0.2428  4 Sb 3.33-3.45, 4 Pb 3.43-3.55, 4 In 3.44
In: 0.5000 0.5000 0.7572  4 Sb 3.33-3.45, 4 Pb 3.43-3.55, 4 In 3.44
Sb: 0.0000 0.5000 0.0000  8 In 3.33-3.45, 4 Sb 3.44
Sb: 0.5000 0.0000 0.0000  8 In 3.33-3.45, 4 Sb 3.44
Pb: 0.0000 0.5000 0.5000  8 In 3.43-3.55, 4 Pb 3.44
Pb: 0.5000 0.0000 0.5000  8 In 3.43-3.55, 4 Pb 3.44

Record 6
Crystalline In2SbPb at its relaxed geometry. Source: the Alexandria database, functional PBE-GGA.

Excess energy over the best structure of this formula in the dataset = 40.5 meV per atom
Magnetic moment = 0.00 μB per cell
DFT total energy = -52.0 eV per cell
Space-group type = No. 216
Formation energy (no corrections) = 0.075 eV per atom
DOS at the Fermi energy = 0.840 states/eV per atom

abc: 7.7632 7.7632 7.7632
angles: 90.00 90.00 90.00
With the nearest neighbours (Å) after each atom.
Atoms (fractional coordinates):
In: 0.0000 0.0000 0.0000  4 In 3.36, 4 Pb 3.36
In: 0.0000 0.5000 0.5000  4 In 3.36, 4 Pb 3.36
In: 0.2500 0.2500 0.2500  4 In 3.36, 4 Sb 3.36
In: 0.2500 0.7500 0.7500  4 In 3.36, 4 Sb 3.36
In: 0.5000 0.0000 0.5000  4 In 3.36, 4 Pb 3.36
In: 0.5000 0.5000 0.0000  4 In 3.36, 4 Pb 3.36
In: 0.7500 0.2500 0.7500  4 In 3.36, 4 Sb 3.36
In: 0.7500 0.7500 0.2500  4 In 3.36, 4 Sb 3.36
Sb: 0.0000 0.0000 0.5000  4 In 3.36, 4 Pb 3.36
Sb: 0.0000 0.5000 0.0000  4 In 3.36, 4 Pb 3.36
Sb: 0.5000 0.0000 0.0000  4 In 3.36, 4 Pb 3.36
Sb: 0.5000 0.5000 0.5000  4 In 3.36, 4 Pb 3.36
Pb: 0.2500 0.2500 0.7500  4 In 3.36, 4 Sb 3.36
Pb: 0.2500 0.7500 0.2500  4 In 3.36, 4 Sb 3.36
Pb: 0.7500 0.2500 0.2500  4 In 3.36, 4 Sb 3.36
Pb: 0.7500 0.7500 0.7500  4 In 3.36, 4 Sb 3.36

Record 7
Crystalline InSbPb2 at its relaxed geometry. Source: the Alexandria database, functional PBE-GGA.

Excess energy over the best structure of this formula in the dataset = 43.8 meV per atom
Magnetic moment = 0.00 μB per cell
DFT total energy = -56.0 eV per cell
Space-group type = No. 216
Formation energy (no corrections) = 0.071 eV per atom
DOS at the Fermi energy = 0.758 states/eV per atom

abc: 7.8074 7.8074 7.8074
angles: 90.00 90.00 90.00
With the nearest neighbours (Å) after each atom.
Atoms (fractional coordinates):
In: 0.0000 0.0000 0.0000  4 Pb 3.38, 4 Sb 3.38
In: 0.0000 0.5000 0.5000  4 Pb 3.38, 4 Sb 3.38
In: 0.5000 0.0000 0.5000  4 Pb 3.38, 4 Sb 3.38
In: 0.5000 0.5000 0.0000  4 Pb 3.38, 4 Sb 3.38
Sb: 0.2500 0.2500 0.7500  4 In 3.38, 4 Pb 3.38
Sb: 0.2500 0.7500 0.2500  4 In 3.38, 4 Pb 3.38
Sb: 0.7500 0.2500 0.2500  4 In 3.38, 4 Pb 3.38
Sb: 0.7500 0.7500 0.7500  4 In 3.38, 4 Pb 3.38
Pb: 0.0000 0.0000 0.5000  4 Pb 3.38, 4 Sb 3.38
Pb: 0.0000 0.5000 0.0000  4 Pb 3.38, 4 Sb 3.38
Pb: 0.2500 0.2500 0.2500  4 In 3.38, 4 Pb 3.38
Pb: 0.2500 0.7500 0.7500  4 In 3.38, 4 Pb 3.38
Pb: 0.5000 0.0000 0.0000  4 Pb 3.38, 4 Sb 3.38
Pb: 0.5000 0.5000 0.5000  4 Pb 3.38, 4 Sb 3.38
Pb: 0.7500 0.2500 0.7500  4 In 3.38, 4 Pb 3.38
Pb: 0.7500 0.7500 0.2500  4 In 3.38, 4 Pb 3.38

Record 8
Crystalline In2SbPb at its relaxed geometry. Source: the Alexandria database, functional PBE-GGA.

Excess energy over the best structure of this formula in the dataset = 54.3 meV per atom
Magnetic moment = 0.00 μB per cell
DFT total energy = -51.8 eV per cell
Space-group type = No. 225
Formation energy (no corrections) = 0.088 eV per atom
DOS at the Fermi energy = 0.591 states/eV per atom

abc: 7.6934 7.6934 7.6934
angles: 90.00 90.00 90.00
With the nearest neighbours (Å) after each atom.
Atoms (fractional coordinates):
In: 0.2500 0.2500 0.2500  4 Pb 3.33, 4 Sb 3.33
In: 0.2500 0.2500 0.7500  4 Pb 3.33, 4 Sb 3.33
In: 0.2500 0.7500 0.2500  4 Pb 3.33, 4 Sb 3.33
In: 0.2500 0.7500 0.7500  4 Pb 3.33, 4 Sb 3.33
In: 0.7500 0.2500 0.2500  4 Pb 3.33, 4 Sb 3.33
In: 0.7500 0.2500 0.7500  4 Pb 3.33, 4 Sb 3.33
In: 0.7500 0.7500 0.2500  4 Pb 3.33, 4 Sb 3.33
In: 0.7500 0.7500 0.7500  4 Pb 3.33, 4 Sb 3.33
Sb: 0.0000 0.0000 0.0000  8 In 3.33
Sb: 0.0000 0.5000 0.5000  8 In 3.33
Sb: 0.5000 0.0000 0.5000  8 In 3.33
Sb: 0.5000 0.5000 0.0000  8 In 3.33
Pb: 0.0000 0.0000 0.5000  8 In 3.33
Pb: 0.0000 0.5000 0.0000  8 In 3.33
Pb: 0.5000 0.0000 0.0000  8 In 3.33
Pb: 0.5000 0.5000 0.5000  8 In 3.33

Record 9
Crystalline InSbPb2 at its relaxed geometry. Source: the Alexandria database, functional PBE-GGA.

Excess energy over the best structure of this formula in the dataset = 55.4 meV per atom
Magnetic moment = 0.00 μB per cell
DFT total energy = -27.9 eV per cell
Space-group type = No. 35
Formation energy (no corrections) = 0.083 eV per atom
DOS at the Fermi energy = 0.572 states/eV per atom

abc: 3.4369 5.9054 11.7093
angles: 90.00 90.00 90.00
With the nearest neighbours (Å) after each atom.
Atoms (fractional coordinates):
In: 0.0000 0.0000 0.0000  2 Sb 3.28, 2 Pb 3.39, 6 In 3.42-3.44
In: 0.5000 0.5000 0.0000  2 Sb 3.28, 2 Pb 3.39, 6 In 3.42-3.44
Sb: 0.0000 0.5000 0.2386  2 In 3.28, 6 Sb 3.42-3.44, 2 Pb 3.43
Sb: 0.5000 0.0000 0.2386  2 In 3.28, 6 Sb 3.42-3.44, 2 Pb 3.43
Pb: 0.0000 0.0000 0.4920  8 Pb 3.42-3.48, 2 Sb 3.43
Pb: 0.0000 0.5000 0.7500  2 In 3.39, 8 Pb 3.42-3.48
Pb: 0.5000 0.0000 0.7500  2 In 3.39, 8 Pb 3.42-3.48
Pb: 0.5000 0.5000 0.4920  8 Pb 3.42-3.48, 2 Sb 3.43

Record 10
Crystalline InSbPb2 at its relaxed geometry. Source: the Alexandria database, functional PBE-GGA.

Excess energy over the best structure of this formula in the dataset = 123.6 meV per atom
Magnetic moment = 0.00 μB per cell
DFT total energy = -54.7 eV per cell
Space-group type = No. 122
Formation energy (no corrections) = 0.151 eV per atom
DOS at the Fermi energy = 0.125 states/eV per atom

abc: 6.8861 6.8861 13.7021
angles: 90.00 90.00 90.00
With the nearest neighbours (Å) after each atom.
Atoms (fractional coordinates):
In: 0.0000 0.0000 0.0000  4 Pb 2.96
In: 0.0000 0.5000 0.2500  4 Pb 2.96
In: 0.5000 0.0000 0.7500  4 Pb 2.96
In: 0.5000 0.5000 0.5000  4 Pb 2.96
Sb: 0.0000 0.0000 0.5000  4 Pb 3.00
Sb: 0.0000 0.5000 0.7500  4 Pb 3.00
Sb: 0.5000 0.0000 0.2500  4 Pb 3.00
Sb: 0.5000 0.5000 0.0000  4 Pb 3.00
Pb: 0.2449 0.2500 0.1250  2 In 2.96, 2 Sb 3.00
Pb: 0.2500 0.7449 0.3750  2 In 2.96, 2 Sb 3.00
Pb: 0.2500 0.7551 0.8750  2 In 2.96, 2 Sb 3.00
Pb: 0.2551 0.2500 0.6250  2 In 2.96, 2 Sb 3.00
Pb: 0.7449 0.7500 0.6250  2 In 2.96, 2 Sb 3.00
Pb: 0.7500 0.2449 0.8750  2 In 2.96, 2 Sb 3.00
Pb: 0.7500 0.2551 0.3750  2 In 2.96, 2 Sb 3.00
Pb: 0.7551 0.7500 0.1250  2 In 2.96, 2 Sb 3.00

Record 11
Crystalline In2Sb2Pb at its relaxed geometry. Source: the Alexandria database, functional PBE-GGA.

Excess energy over the best structure of this formula in the dataset = 35.1 meV per atom
Magnetic moment = 0.00 μB per cell
DFT total energy = -34.0 eV per cell
Space-group type = No. 139
Formation energy (no corrections) = 0.090 eV per atom
DOS at the Fermi energy = 0.533 states/eV per atom

abc: 4.4787 4.4787 15.3331
angles: 90.00 90.00 90.00
With the nearest neighbours (Å) after each atom.
Atoms (fractional coordinates):
In: 0.0000 0.5000 0.2500  4 In 3.17, 4 Sb 3.24
In: 0.0000 0.5000 0.7500  4 In 3.17, 4 Sb 3.24
In: 0.5000 0.0000 0.2500  4 In 3.17, 4 Sb 3.24
In: 0.5000 0.0000 0.7500  4 In 3.17, 4 Sb 3.24
Sb: 0.0000 0.0000 0.0973  1 Sb 2.98, 4 In 3.24
Sb: 0.0000 0.0000 0.9027  1 Sb 2.98, 4 In 3.24
Sb: 0.5000 0.5000 0.4027  1 Sb 2.98, 4 In 3.24
Sb: 0.5000 0.5000 0.5973  1 Sb 2.98, 4 In 3.24
Pb: 0.0000 0.0000 0.5000  8 Sb 3.50
Pb: 0.5000 0.5000 0.0000  8 Sb 3.50

Record 12
Crystalline InSb2Pb2 at its relaxed geometry. Source: the Alexandria database, functional PBE-GGA.

Excess energy over the best structure of this formula in the dataset = 0.0 meV per atom
Magnetic moment = 0.00 μB per cell
DFT total energy = -36.0 eV per cell
Space-group type = No. 127
Formation energy (no corrections) = 0.083 eV per atom
DOS at the Fermi energy = 0.579 states/eV per atom

abc: 8.6995 8.6995 4.1342
angles: 90.00 90.00 90.00
With the nearest neighbours (Å) after each atom.
Atoms (fractional coordinates):
In: 0.0000 0.0000 0.0000  4 Sb 3.35
In: 0.5000 0.5000 0.0000  4 Sb 3.35
Sb: 0.1421 0.3579 0.0000  6 Pb 3.27-3.29, 2 In 3.35, 1 Sb 3.50
Sb: 0.3579 0.8579 0.0000  6 Pb 3.27-3.29, 2 In 3.35, 1 Sb 3.50
Sb: 0.6421 0.1421 0.0000  6 Pb 3.27-3.29, 2 In 3.35, 1 Sb 3.50
Sb: 0.8579 0.6421 0.0000  6 Pb 3.27-3.29, 2 In 3.35, 1 Sb 3.50
Pb: 0.1517 0.6517 0.5000  6 Sb 3.27-3.29
Pb: 0.3483 0.1517 0.5000  6 Sb 3.27-3.29
Pb: 0.6517 0.8483 0.5000  6 Sb 3.27-3.29
Pb: 0.8483 0.3483 0.5000  6 Sb 3.27-3.29